{
  "formula": "CsPdPtO4",
  "functional": "GGA-PBE",
  "state": "optimized geometry",
  "dos_ef_per_ev_cell": 3.82,
  "e_form_raw_kj_per_mol_fu": -371,
  "magnetic_moment_mub_per_fu": 0.890,
  "total_energy_ev_per_atom": -5.109,
  "lattice": [[6.483, 0.000, 0.000], [-3.241, 6.227, -0.047], [0.000, -3.403, 5.597]],
  "species": ["O", "O", "O", "O", "O", "O", "O", "O", "Pt", "Pt", "Pd", "Pd", "Cs", "Cs"],
  "fractional_positions": [[0.752, 0.111, 0.306], [0.734, 0.469, 0.673], [0.248, 0.889, 0.694], [0.641, 0.889, 0.694], [0.735, 0.469, 0.296], [0.265, 0.531, 0.704], [0.266, 0.531, 0.327], [0.359, 0.111, 0.306], [0.500, 0.500, 0.500], [0.000, 0.500, 0.500], [0.500, 0.000, 0.500], [0.500, 0.000, 0.000], [0.112, 0.223, 0.862], [0.888, 0.777, 0.138]]
}

=====

{
  "formula": "Cs3Pu2PdO9",
  "functional": "GGA-PBE",
  "state": "optimized geometry",
  "dos_ef_per_ev_cell": 8.65,
  "e_form_raw_kj_per_mol_fu": -2691,
  "magnetic_moment_mub_per_fu": 3.936,
  "total_energy_ev_per_atom": -7.262,
  "lattice": [[-2.512, 4.362, 3.588], [-3.514, -4.573, -2.227], [1.540, -4.187, 6.168]],
  "species": ["O", "O", "O", "O", "O", "O", "O", "O", "O", "Pu", "Pu", "Cs", "Cs", "Cs", "Pd"],
  "fractional_positions": [[0.819, 0.637, 0.689], [0.000, 0.500, 0.000], [0.363, 0.181, 0.689], [0.181, 0.819, 0.311], [0.819, 0.181, 0.689], [0.500, 0.500, 0.000], [0.181, 0.363, 0.311], [0.500, 0.000, 0.000], [0.637, 0.819, 0.311], [0.333, 0.667, 0.162], [0.667, 0.333, 0.838], [0.000, 0.000, 0.000], [0.333, 0.667, 0.654], [0.667, 0.333, 0.346], [0.000, 0.000, 0.500]]
}

=====

{
  "formula": "Cs2PuPd2O6",
  "functional": "GGA-PBE",
  "state": "optimized geometry",
  "dos_ef_per_ev_cell": 5.07,
  "e_form_raw_kj_per_mol_fu": -1545,
  "magnetic_moment_mub_per_fu": 1.949,
  "total_energy_ev_per_atom": -6.563,
  "lattice": [[-1.870, -0.012, 5.390], [5.364, -1.942, -0.036], [0.701, 7.370, -1.686]],
  "species": ["Pd", "Pd", "Cs", "Cs", "O", "O", "O", "O", "O", "O", "Pu"],
  "fractional_positions": [[0.665, 0.335, 0.500], [0.335, 0.665, 0.500], [0.194, 0.806, 0.000], [0.806, 0.194, 0.000], [0.999, 0.320, 0.679], [0.680, 0.001, 0.321], [0.282, 0.282, 0.359], [0.718, 0.718, 0.641], [0.001, 0.680, 0.321], [0.320, 0.999, 0.679], [0.000, 0.000, 0.500]]
}

=====

{
  "formula": "CsPuPdO6",
  "functional": "GGA-PBE",
  "state": "optimized geometry",
  "e_form_raw_kj_per_mol_fu": -1359,
  "magnetic_moment_mub_per_fu": 0.981,
  "total_energy_ev_per_atom": -7.135,
  "lattice": [[-0.822, 4.410, 2.862], [2.440, -4.184, 2.202], [12.303, 4.989, -4.152]],
  "species": ["O", "O", "O", "O", "O", "O", "O", "O", "O", "O", "O", "O", "Pu", "Pu", "Pd", "Pd", "Cs", "Cs"],
  "fractional_positions": [[0.997, 0.633, 0.331], [0.367, 0.364, 0.331], [0.633, 0.636, 0.669], [0.636, 0.003, 0.331], [0.364, 0.367, 0.831], [0.003, 0.367, 0.669], [0.633, 0.997, 0.831], [0.636, 0.633, 0.169], [0.364, 0.997, 0.669], [0.997, 0.364, 0.169], [0.003, 0.636, 0.831], [0.367, 0.003, 0.169], [0.333, 0.667, 0.750], [0.667, 0.333, 0.250], [0.667, 0.333, 0.750], [0.333, 0.667, 0.250], [0.000, 0.000, 0.500], [0.000, 0.000, 0.000]]
}

=====

{
  "formula": "Cs2PuPdO6",
  "functional": "GGA-PBE",
  "state": "optimized geometry",
  "dos_ef_per_ev_cell": 2.66,
  "e_form_raw_kj_per_mol_fu": -1586,
  "magnetic_moment_mub_per_fu": 2.016,
  "total_energy_ev_per_atom": -6.742,
  "lattice": [[-3.866, -3.932, -0.899], [4.384, -4.676, 1.599], [-3.818, 2.686, 4.674]],
  "species": ["Pd", "O", "O", "O", "O", "O", "O", "Cs", "Cs", "Pu"],
  "fractional_positions": [[0.500, 0.000, 0.000], [0.755, 0.731, 0.865], [0.245, 0.865, 0.135], [0.755, 0.135, 0.865], [0.245, 0.865, 0.731], [0.245, 0.269, 0.135], [0.755, 0.135, 0.269], [0.321, 0.333, 0.667], [0.679, 0.667, 0.333], [0.000, 0.000, 0.000]]
}

=====

{
  "formula": "Cs2Pu3PdO12",
  "functional": "GGA-PBE",
  "state": "optimized geometry",
  "dos_ef_per_ev_cell": 4.68,
  "e_form_raw_kj_per_mol_fu": -3665,
  "magnetic_moment_mub_per_fu": 6.024,
  "total_energy_ev_per_atom": -8.188,
  "lattice": [[-3.639, -3.136, -5.802], [1.220, -7.328, -1.247], [-5.624, -4.733, 1.643]],
  "species": ["Pu", "Pu", "Pu", "O", "O", "O", "O", "O", "O", "O", "O", "O", "O", "O", "O", "Cs", "Cs", "Pd"],
  "fractional_positions": [[0.000, 0.000, 0.500], [0.500, 0.000, 0.000], [0.000, 0.500, 0.000], [0.319, 0.319, 0.936], [0.064, 0.683, 0.064], [0.936, 0.936, 0.317], [0.936, 0.319, 0.319], [0.319, 0.936, 0.319], [0.064, 0.064, 0.683], [0.936, 0.317, 0.936], [0.064, 0.681, 0.681], [0.683, 0.064, 0.064], [0.317, 0.936, 0.936], [0.681, 0.681, 0.064], [0.681, 0.064, 0.681], [0.626, 0.626, 0.626], [0.374, 0.374, 0.374], [0.000, 0.000, 0.000]]
}

=====

{
  "formula": "CsRb2PdO2",
  "functional": "GGA-PBE",
  "state": "optimized geometry",
  "dos_ef_per_ev_cell": 12.87,
  "e_form_raw_kj_per_mol_fu": -503,
  "magnetic_moment_mub_per_fu": 1.004,
  "total_energy_ev_per_atom": -3.852,
  "lattice": [[-0.876, -2.801, -3.651], [6.090, -1.487, -0.321], [-1.780, -8.844, 7.212]],
  "species": ["O", "O", "O", "O", "Rb", "Rb", "Rb", "Rb", "Pd", "Pd", "Cs", "Cs"],
  "fractional_positions": [[0.000, 0.776, 0.880], [0.500, 0.276, 0.620], [0.500, 0.724, 0.380], [0.000, 0.224, 0.120], [0.500, 0.942, 0.778], [0.000, 0.558, 0.278], [0.500, 0.058, 0.222], [0.000, 0.442, 0.722], [0.500, 0.500, 0.500], [0.000, 0.000, 0.000], [0.000, 0.000, 0.500], [0.500, 0.500, 0.000]]
}

=====

{
  "formula": "CsRe2PdO8",
  "functional": "GGA-PBE",
  "state": "optimized geometry",
  "dos_ef_per_ev_cell": 1.24,
  "e_form_raw_kj_per_mol_fu": -1721,
  "magnetic_moment_mub_per_fu": 1.001,
  "total_energy_ev_per_atom": -7.371,
  "lattice": [[-4.254, -3.485, 1.090], [0.671, -2.277, 5.079], [-4.913, 5.717, 4.335]],
  "species": ["Re", "Re", "O", "O", "O", "O", "O", "O", "O", "O", "Pd", "Cs"],
  "fractional_positions": [[0.379, 0.379, 0.789], [0.621, 0.621, 0.211], [0.684, 0.684, 0.392], [0.262, 0.710, 0.804], [0.229, 0.229, 0.942], [0.290, 0.738, 0.196], [0.771, 0.771, 0.058], [0.738, 0.290, 0.196], [0.710, 0.262, 0.804], [0.316, 0.316, 0.608], [0.000, 0.000, 0.000], [0.000, 0.000, 0.500]]
}

=====

{
  "formula": "Cs5PdSeO2",
  "functional": "GGA-PBE",
  "state": "optimized geometry",
  "dos_ef_per_ev_cell": 4.52,
  "e_form_raw_kj_per_mol_fu": -829,
  "magnetic_moment_mub_per_fu": 1.014,
  "total_energy_ev_per_atom": -3.495,
  "lattice": [[5.942, 0.000, 0.000], [0.000, 5.942, 0.000], [0.000, 0.000, 9.821]],
  "species": ["Cs", "Cs", "Cs", "Cs", "Cs", "O", "O", "Pd", "Se"],
  "fractional_positions": [[0.000, 0.000, 0.500], [0.000, 0.500, 0.236], [0.000, 0.500, 0.764], [0.500, 0.000, 0.764], [0.500, 0.000, 0.236], [0.000, 0.000, 0.200], [0.000, 0.000, 0.800], [0.000, 0.000, 0.000], [0.500, 0.500, 0.500]]
}

=====

{
  "formula": "Cs2PdSeO4",
  "functional": "GGA-PBE",
  "state": "optimized geometry",
  "e_form_raw_kj_per_mol_fu": -650,
  "magnetic_moment_mub_per_fu": 0.102,
  "total_energy_ev_per_atom": -4.619,
  "lattice": [[-6.190, 0.156, -0.013], [-3.250, -5.913, 1.784], [-3.044, 2.959, 9.637]],
  "species": ["Se", "Se", "Pd", "Pd", "O", "O", "O", "O", "O", "O", "O", "O", "Cs", "Cs", "Cs", "Cs"],
  "fractional_positions": [[0.250, 0.500, 0.500], [0.500, 0.000, 0.000], [0.750, 0.500, 0.500], [0.000, 0.000, 0.000], [0.304, 0.158, 0.907], [0.370, 0.842, 0.093], [0.446, 0.342, 0.593], [0.380, 0.658, 0.407], [0.212, 0.342, 0.407], [0.788, 0.842, 0.907], [0.962, 0.658, 0.593], [0.538, 0.158, 0.093], [0.826, 0.000, 0.348], [0.576, 0.500, 0.848], [0.174, 0.000, 0.652], [0.924, 0.500, 0.152]]
}

=====

{
  "formula": "Cs2PdSe2O6",
  "functional": "GGA-PBE",
  "state": "optimized geometry",
  "e_form_raw_kj_per_mol_fu": -1154,
  "magnetic_moment_mub_per_fu": 0.000,
  "total_energy_ev_per_atom": -5.053,
  "lattice": [[-1.302, 5.261, 0.712], [-2.701, -4.260, 5.556], [7.558, 1.864, 0.042]],
  "species": ["O", "O", "O", "O", "O", "O", "Pd", "Se", "Se", "Cs", "Cs"],
  "fractional_positions": [[0.823, 0.151, 0.729], [0.883, 0.767, 0.657], [0.328, 0.151, 0.729], [0.672, 0.849, 0.271], [0.177, 0.849, 0.271], [0.117, 0.233, 0.343], [0.500, 0.000, 0.500], [0.024, 0.049, 0.796], [0.976, 0.951, 0.204], [0.293, 0.586, 0.771], [0.707, 0.414, 0.229]]
}

=====

{
  "formula": "Cs2SnPdO4",
  "functional": "GGA-PBE",
  "state": "optimized geometry",
  "e_form_raw_kj_per_mol_fu": -843,
  "magnetic_moment_mub_per_fu": 0.000,
  "total_energy_ev_per_atom": -4.934,
  "lattice": [[6.068, 0.000, 0.000], [3.034, 7.128, 0.000], [3.034, 0.000, 11.311]],
  "species": ["Sn", "Sn", "O", "O", "O", "O", "O", "O", "O", "O", "Cs", "Cs", "Cs", "Cs", "Pd", "Pd"],
  "fractional_positions": [[0.000, 0.000, 0.000], [0.750, 0.500, 0.500], [0.850, 0.811, 0.993], [0.594, 0.311, 0.507], [0.654, 0.189, 0.007], [0.900, 0.689, 0.507], [0.156, 0.189, 0.993], [0.411, 0.689, 0.493], [0.096, 0.311, 0.493], [0.339, 0.811, 0.007], [0.177, 0.000, 0.645], [0.927, 0.500, 0.145], [0.823, 0.000, 0.355], [0.573, 0.500, 0.855], [0.500, 0.000, 0.000], [0.250, 0.500, 0.500]]
}